Ti6MnRh2 | GGA-PBE | relaxed

Results
The calculated density is 5.7 g cm⁻³. The value obtained for the electronic total energy is -8.04 eV/atom. As for the crystal system: monoclinic. The formation energy comes out at -2.870 kcal/mol of atoms. For the density of states at the Fermi level, the calculation gives 23.8 states/eV/cell.

CIF file:
```
data_Ti6MnRh2
_symmetry_space_group_name_H-M 'C 1 2/m 1'
_symmetry_Int_Tables_number 12
_cell_length_a 12.850
_cell_length_b 6.000
_cell_length_c 4.380
_cell_angle_alpha 90.00
_cell_angle_beta 109.87
_cell_angle_gamma 90.00
loop_
_symmetry_equiv_pos_as_xyz
'x,y,z'
'-x,-y,-z'
'-x,y,-z'
'x,-y,z'
'x+1/2,y+1/2,z'
'-x+1/2,-y+1/2,-z'
'-x+1/2,y+1/2,-z'
'x+1/2,-y+1/2,z'
loop_
_atom_site_label
_atom_site_type_symbol
_atom_site_fract_x
_atom_site_fract_y
_atom_site_fract_z
_atom_site_occupancy
Ti1 Ti 0.000 0.236 0.000 1
Ti2 Ti 0.160 0.243 0.660 1
Mn1 Mn 0.000 0.000 0.500 1
Rh1 Rh 0.166 0.500 0.166 1
```